1.
Computed, not measured: a geometry-optimized Na2As2Pt structure at the PBE level of DFT.

energy of formation: -0.494 eV/atom

POSCAR file:
```
Na2As2Pt
1.0
-1.326 1.656 -6.127
-2.368 -5.936 -1.092
-4.439 1.519 1.372
Na As Pt
4 4 2
direct
0.176 0.676 0.500
0.676 0.824 0.500
0.824 0.324 0.500
0.324 0.176 0.500
0.362 0.862 0.000
0.862 0.638 0.000
0.638 0.138 0.000
0.138 0.362 0.000
0.000 0.000 0.000
0.500 0.500 0.000
```

***

2.
Computed, not measured: a geometry-optimized V6CrGe3 structure at the PBE level of DFT.

energy of formation: 0.051 eV/atom

POSCAR file:
```
V6CrGe3
1.0
-2.033 1.689 -0.914
-3.727 -7.569 -5.700
-4.069 0.790 10.511
V Cr Ge
12 2 6
direct
0.750 0.567 0.641
0.250 0.433 0.359
0.750 0.909 0.085
0.250 0.091 0.915
0.750 0.337 0.951
0.250 0.663 0.049
0.750 0.754 0.278
0.250 0.246 0.722
0.750 0.095 0.482
0.250 0.905 0.518
0.750 0.845 0.717
0.250 0.155 0.283
0.750 0.060 0.722
0.250 0.940 0.278
0.750 0.502 0.837
0.250 0.498 0.163
0.750 0.670 0.472
0.250 0.330 0.528
0.750 0.224 0.130
0.250 0.776 0.870
```

***

3.
Computed, not measured: a geometry-optimized NaLiIBr structure at the PBE level of DFT.

E_form (uncorrected): -1.359 eV/atom

POSCAR file:
```
NaLiIBr
1.0
4.256 0.000 0.000
2.128 3.686 0.000
2.128 1.229 7.012
Na Li I Br
1 1 1 1
direct
0.601 0.601 0.198
0.112 0.112 0.665
0.365 0.365 0.905
0.852 0.852 0.444
```

***

no.,D(E_F) (states/eV/f.u.),spin magnetization (μB per atom)
1,1.7,0.0000
2,10.7,0.0000
3,0.0,0.0000